Entry 1:
The following is a DFT calculation (PBE-GGA) of KSb2TeCl after structural relaxation.

Summary:
DOS at the Fermi energy in states/eV/cell: 9.2
E above lowest polymorph in eV/atom: 0.796
Space-group type: P4/mmm

Unit cell a=6.116 b=6.116 c=5.937 alpha=90.00 beta=90.00 gamma=90.00
Fractional positions:
Sb  0.000  0.500  0.000
Sb  0.500  0.000  0.000
K  0.000  0.000  0.000
Te  0.000  0.000  0.500
Cl  0.500  0.500  0.500

Entry 2:
The following is a DFT calculation (PBE-GGA) of SrHfSiN2 after structural relaxation.

Summary:
DOS at the Fermi energy in states/eV/cell: 5.4
Space-group type: P4/mmm
Electronic total energy in eV/atom: -6.7056

Unit cell a=4.324 b=4.324 c=5.090 alpha=90.00 beta=90.00 gamma=90.00
Fractional positions:
Sr  0.500  0.500  0.500
Si  0.000  0.000  0.500
Hf  0.000  0.000  0.000
N  0.000  0.500  0.000
N  0.500  0.000  0.000

Entry 3:
The following is a DFT calculation (PBE-GGA) of CuNi2Ir after structural relaxation.

Summary:
DOS at the Fermi energy in states/eV/cell: 6.6
Space-group type: Cmmm
ΔH_f (0 K) in eV/f.u.: 0.1

Unit cell a=4.440 b=4.440 c=2.608 alpha=90.00 beta=90.00 gamma=108.73
Fractional positions:
Ni  0.000  0.000  0.000
Ni  0.500  0.500  0.000
Ir  0.000  0.500  0.500
Cu  0.500  0.000  0.500

Entry 4:
The following is a DFT calculation (PBE-GGA) of Ce2MgAl2Ni5 after structural relaxation.

Summary:
DOS at the Fermi energy in states/eV/cell: 27.2
Space-group type: P4/mbm
ΔH_f (0 K) in eV/f.u.: -2.6

Unit cell a=3.089 b=10.224 c=10.224 alpha=90.00 beta=90.00 gamma=90.00
Fractional positions:
Ce  0.000  0.676  0.176
Ce  0.000  0.324  0.824
Ce  0.000  0.176  0.324
Ce  0.000  0.824  0.676
Mg  0.000  0.000  0.000
Mg  0.000  0.500  0.500
Al  0.000  0.124  0.624
Al  0.000  0.876  0.376
Al  0.000  0.624  0.876
Al  0.000  0.376  0.124
Ni  0.500  0.208  0.050
Ni  0.500  0.792  0.950
Ni  0.500  0.050  0.792
Ni  0.500  0.708  0.450
Ni  0.500  0.950  0.208
Ni  0.500  0.292  0.550
Ni  0.500  0.550  0.708
Ni  0.500  0.450  0.292
Ni  0.500  0.500  0.000
Ni  0.500  0.000  0.500

Entry 5:
The following is a DFT calculation (PBE-GGA) of BaIrBr2 after structural relaxation.

Summary:
DOS at the Fermi energy in states/eV/cell: 2.9
E above lowest polymorph in eV/atom: 0.247
Space-group type: Imm2

Unit cell a=8.819 b=8.819 c=8.819 alpha=155.68 beta=153.78 gamma=36.07
Fractional positions:
Ir  0.473  0.473  0.000
Ba  0.321  0.821  0.500
Br  0.989  0.989  0.000
Br  0.717  0.217  0.500

Entry 6:
The following is a DFT calculation (PBE-GGA) of Pm3Dy6Th2Sc after structural relaxation.

Summary:
DOS at the Fermi energy in states/eV/cell: 16.7
Space-group type: C2/m
ΔH_f (0 K) in eV/f.u.: 0.3

Unit cell a=6.144 b=6.144 c=11.780 alpha=95.00 beta=95.00 gamma=119.98
Fractional positions:
Pm  0.167  0.833  0.500
Pm  0.833  0.167  0.500
Pm  0.500  0.500  0.500
Dy  0.919  0.586  0.756
Dy  0.747  0.747  0.244
Dy  0.081  0.414  0.244
Dy  0.586  0.919  0.756
Dy  0.253  0.253  0.756
Dy  0.414  0.081  0.244
Th  0.334  0.666  0.000
Th  0.666  0.334  0.000
Sc  0.000  0.000  0.000